The following is a GGA-PBE calculation of a relaxed Sm2SeN crystal, from Alexandria via LeMat-Bulk.

Results
energy relative to the elements, uncorrected = -1.651 eV/atom
energy above the most stable polymorph in this dataset = 0 meV/atom
magnetic moment = 0.00 Bohr magnetons per cell

a b c (Å): 3.7707 3.7707 7.0375
angles (deg): 90.00 105.53 120.01
Fractional positions:
Sm 0.5329 0.2665 0.7994
Sm 0.4671 0.7335 0.2006
Se 0.0000 0.5000 0.5000
N 0.0000 0.0000 0.0000